Record 1
An optimized crystal structure of Ag8HgPd2, computed with PBE.

CIF file:
```
data_Ag8HgPd2
_chemical_formula_sum 'Ag16 Hg2 Pd4'
_cell_length_a 7.595
_cell_length_b 14.617
_cell_length_c 4.973
_cell_angle_alpha 90.00
_cell_angle_beta 130.49
_cell_angle_gamma 90.00
_space_group_name_H-M_alt 'C 1 2/m 1'
_space_group_IT_number 12
loop_
_space_group_symop_operation_xyz
'x,y,z'
'-x,-y,-z'
'-x,y,-z'
'x,-y,z'
'x+1/2,y+1/2,z'
'-x+1/2,-y+1/2,-z'
'-x+1/2,y+1/2,-z'
'x+1/2,-y+1/2,z'
loop_
_atom_site_label
_atom_site_fract_x
_atom_site_fract_y
_atom_site_fract_z
_atom_site_occupancy
Ag1 0.000 0.189 0.000 1
Ag2 0.062 0.500 0.810 1
Ag3 0.244 0.148 0.733 1
Hg1 0.000 0.000 0.000 1
Pd1 0.000 0.322 0.500 1
```

Formation enthalpy at 0 K ... 0.11 eV per atom
Volume ... 210.0 Å³/f.u.

=====

Record 2
An optimized crystal structure of Ag2HgPd, computed with PBE.

CIF file:
```
data_Ag2HgPd
_chemical_formula_sum 'Ag4 Hg2 Pd2'
_cell_length_a 5.891
_cell_length_b 4.121
_cell_length_c 5.969
_cell_angle_alpha 90.00
_cell_angle_beta 91.50
_cell_angle_gamma 90.00
_space_group_name_H-M_alt 'P 1 21/m 1'
_space_group_IT_number 11
loop_
_space_group_symop_operation_xyz
'x,y,z'
'-x,-y,-z'
'-x,y+1/2,-z'
'x,-y+1/2,z'
loop_
_atom_site_label
_atom_site_fract_x
_atom_site_fract_y
_atom_site_fract_z
_atom_site_occupancy
Ag1 0.113 0.250 0.376 1
Ag2 0.376 0.750 0.624 1
Hg1 0.354 0.750 0.127 1
Pd1 0.134 0.250 0.872 1
```

Formation enthalpy at 0 K ... -0.05 eV per atom
Volume ... 72.4 Å³/f.u.

=====

Record 3
An optimized crystal structure of AgHg2Pd4, computed with PBE.

CIF file:
```
data_AgHg2Pd4
_chemical_formula_sum 'Ag2 Hg4 Pd8'
_cell_length_a 5.677
_cell_length_b 5.677
_cell_length_c 8.155
_cell_angle_alpha 90.00
_cell_angle_beta 90.00
_cell_angle_gamma 90.00
_space_group_name_H-M_alt 'I 4/m m m'
_space_group_IT_number 139
_space_group_name_Hall '-I 4 2'
loop_
_atom_site_label
_atom_site_fract_x
_atom_site_fract_y
_atom_site_fract_z
_atom_site_occupancy
Ag1 0.000 0.000 0.000 1
Hg1 0.000 0.500 0.000 1
Pd1 0.250 0.250 0.250 1
```

Formation enthalpy at 0 K ... -0.01 eV per atom
Volume ... 131.4 Å³/f.u.

=====

> Look up the formation enthalpy at 0 K of the second one.

-0.05 eV per atom

=====

> Which of these has the lowest volume?

Ag2HgPd